# Be3Os, relaxed, DFT PBE
# Total energy: -22.48 eV for the cell shown
# D(E_F): 0.7 states/eV/cell
data_Be3Os
_space_group_name_H-M_alt 'P 1 2/m 1'
_space_group_IT_number 10
_space_group_name_Hall '-P 2y'
_cell_length_a 2.5012
_cell_length_b 3.7321
_cell_length_c 4.4471
_cell_angle_alpha 90.00
_cell_angle_beta 101.11
_cell_angle_gamma 90.00
loop_
_atom_site_label
_atom_site_type_symbol
_atom_site_fract_x
_atom_site_fract_y
_atom_site_fract_z
_atom_site_occupancy
Be1 Be 0.0000 0.0000 0.0000 1
Be2 Be 0.1406 0.5000 0.7534 1
Os1 Os 0.5000 0.0000 0.5000 1


# Sr2YFeB, relaxed, DFT PBE
# Total energy: -21.37 eV for the cell shown
# D(E_F): 8.7 states/eV/cell
data_Sr2YFeB
_space_group_name_H-M_alt 'P 4/m m m'
_space_group_IT_number 123
_space_group_name_Hall '-P 4 2'
_cell_length_a 5.5949
_cell_length_b 5.5949
_cell_length_c 4.9946
_cell_angle_alpha 90.00
_cell_angle_beta 90.00
_cell_angle_gamma 90.00
loop_
_atom_site_label
_atom_site_type_symbol
_atom_site_fract_x
_atom_site_fract_y
_atom_site_fract_z
_atom_site_occupancy
Sr1 Sr 0.0000 0.5000 0.0000 1
Y1 Y 0.0000 0.0000 0.5000 1
Fe1 Fe 0.5000 0.5000 0.5000 1
B1 B 0.0000 0.0000 0.0000 1


# ReH2PdN, relaxed, DFT PBE
# Total energy: -23.87 eV for the cell shown
# D(E_F): 1.6 states/eV/cell
data_ReH2PdN
_space_group_name_H-M_alt 'P 4/m m m'
_space_group_IT_number 123
_space_group_name_Hall '-P 4 2'
_cell_length_a 3.6625
_cell_length_b 3.6625
_cell_length_c 4.0176
_cell_angle_alpha 90.00
_cell_angle_beta 90.00
_cell_angle_gamma 90.00
loop_
_atom_site_label
_atom_site_type_symbol
_atom_site_fract_x
_atom_site_fract_y
_atom_site_fract_z
_atom_site_occupancy
Re1 Re 0.0000 0.0000 0.0000 1
H1 H 0.0000 0.5000 0.5000 1
Pd1 Pd 0.5000 0.5000 0.0000 1
N1 N 0.5000 0.5000 0.5000 1


# La6Ga2Si, relaxed, DFT PBE
# Total energy: -85.51 eV for the cell shown
# D(E_F): 20.9 states/eV/cell
# Formation energy (no corrections): -0.190 eV per atom
# Offset from the most stable computed form: 197 meV/atom
data_La6Ga2Si
_space_group_name_H-M_alt 'P 42/m n m'
_space_group_IT_number 136
_space_group_name_Hall '-P 4n 2n'
_cell_length_a 7.6331
_cell_length_b 7.6331
_cell_length_c 11.3520
_cell_angle_alpha 90.00
_cell_angle_beta 90.00
_cell_angle_gamma 90.00
loop_
_atom_site_label
_atom_site_type_symbol
_atom_site_fract_x
_atom_site_fract_y
_atom_site_fract_z
_atom_site_occupancy
La1 La 0.2123 0.2123 0.1652 1
La2 La 0.2291 0.2291 0.5000 1
Ga1 Ga 0.0000 0.0000 0.3527 1
Si1 Si 0.0000 0.0000 0.0000 1


# Li2GaSnO4, relaxed, DFT PBE
# Total energy: -87.78 eV for the cell shown
# D(E_F): 2.4 states/eV/cell
# Formation energy (no corrections): -1.650 eV per atom
data_Li2GaSnO4
_space_group_name_H-M_alt 'I -4 m 2'
_space_group_IT_number 119
_space_group_name_Hall 'I -4 -2'
_cell_length_a 4.3107
_cell_length_b 4.3107
_cell_length_c 9.3626
_cell_angle_alpha 90.00
_cell_angle_beta 90.00
_cell_angle_gamma 90.00
loop_
_atom_site_label
_atom_site_type_symbol
_atom_site_fract_x
_atom_site_fract_y
_atom_site_fract_z
_atom_site_occupancy
Li1 Li 0.0000 0.0000 0.0000 1
Li2 Li 0.0000 0.5000 0.2500 1
Ga1 Ga 0.0000 0.0000 0.5000 1
Sn1 Sn 0.0000 0.5000 0.7500 1
O1 O 0.0000 0.0000 0.2884 1
O2 O 0.0000 0.5000 0.5060 1


# BaMnW2, relaxed, DFT PBE
# Total energy: -33.46 eV for the cell shown
# D(E_F): 4.1 states/eV/cell
# Offset from the most stable computed form: 143 meV/atom
data_BaMnW2
_space_group_name_H-M_alt 'P 1 2/m 1'
_space_group_IT_number 10
_space_group_name_Hall '-P 2y'
_cell_length_a 2.9888
_cell_length_b 3.5979
_cell_length_c 7.9759
_cell_angle_alpha 90.00
_cell_angle_beta 94.71
_cell_angle_gamma 90.00
loop_
_atom_site_label
_atom_site_type_symbol
_atom_site_fract_x
_atom_site_fract_y
_atom_site_fract_z
_atom_site_occupancy
Ba1 Ba 0.0000 0.0000 0.0000 1
Mn1 Mn 0.0000 0.0000 0.5000 1
W1 W 0.4280 0.5000 0.6484 1


# Th6AsIr2S3, relaxed, DFT PBE
# Total energy: -192.91 eV for the cell shown
# D(E_F): 19.3 states/eV/cell
# Formation energy (no corrections): -1.432 eV per atom
data_Th6AsIr2S3
_space_group_name_H-M_alt 'C 1 2/m 1'
_space_group_IT_number 12
_space_group_name_Hall '-C 2y'
_cell_length_a 18.1547
_cell_length_b 4.0845
_cell_length_c 8.4703
_cell_angle_alpha 90.00
_cell_angle_beta 102.75
_cell_angle_gamma 90.00
loop_
_atom_site_label
_atom_site_type_symbol
_atom_site_fract_x
_atom_site_fract_y
_atom_site_fract_z
_atom_site_occupancy
Th1 Th 0.0041 0.0000 0.2571 1
Th2 Th 0.1699 0.5000 0.5674 1
Th3 Th 0.1706 0.5000 0.0928 1
As1 As 0.0000 0.5000 0.0000 1
Ir1 Ir 0.1672 0.0000 0.3284 1
S1 S 0.0000 0.5000 0.5000 1
S2 S 0.1605 0.0000 0.8298 1


# ZnFePd, relaxed, DFT PBE
# Total energy: -30.77 eV for the cell shown
# D(E_F): 3.9 states/eV/cell
# Offset from the most stable computed form: 0 meV/atom
data_ZnFePd
_space_group_name_H-M_alt 'I 4 m m'
_space_group_IT_number 107
_space_group_name_Hall 'I 4 -2'
_cell_length_a 2.7842
_cell_length_b 2.7842
_cell_length_c 10.6287
_cell_angle_alpha 90.00
_cell_angle_beta 90.00
_cell_angle_gamma 90.00
loop_
_atom_site_label
_atom_site_type_symbol
_atom_site_fract_x
_atom_site_fract_y
_atom_site_fract_z
_atom_site_occupancy
Zn1 Zn 0.0000 0.0000 0.0000 1
Fe1 Fe 0.0000 0.0000 0.3391 1
Pd1 Pd 0.0000 0.0000 0.6707 1